The following is a GGA+U calculation of a relaxed NbWO2F crystal, from Alexandria.

a b c (Å): 4.1273 4.1273 4.2030
angles (deg): 90.00 90.00 90.00
Last column: nearest neighbours and their distance in Å.
Fractional positions:
Nb: 0.0000 0.0000 0.0000  4 F 2.92, 8 O 2.95
W: 0.5000 0.5000 0.5000  4 O 2.06, 2 F 2.10
O: 0.0000 0.5000 0.5000  2 W 2.06
O: 0.5000 0.0000 0.5000  2 W 2.06
F: 0.5000 0.5000 0.0000  2 W 2.10

## Properties
The magnetization is 1.197 μB/atom. The calculation puts the volume at 14.32 A^3/atom. The total energy comes out at -33.06 eV per cell. Its theoretical density is 7601 kg/m³.


The following is a GGA+U calculation of a relaxed NbWOF2 crystal, from Alexandria.

a b c (Å): 4.4110 4.4110 3.9843
angles (deg): 90.00 90.00 90.00
Last column: nearest neighbours and their distance in Å.
Fractional positions:
Nb: 0.0000 0.0000 0.0000  2 O 1.99, 4 F 2.21
W: 0.5000 0.5000 0.5000  8 F 2.97, 4 O 3.12
O: 0.0000 0.0000 0.5000  2 Nb 1.99
F: 0.0000 0.5000 0.0000  2 Nb 2.21
F: 0.5000 0.0000 0.0000  2 Nb 2.21

## Properties
The magnetization is 1.368 μB/atom. The calculation puts the volume at 15.50 A^3/atom. The total energy comes out at -30.91 eV per cell. Its theoretical density is 7084 kg/m³.


The following is a GGA+U calculation of a relaxed NbWOF2 crystal, from Alexandria.

a b c (Å): 4.2641 4.2641 4.3002
angles (deg): 90.00 90.00 90.00
Last column: nearest neighbours and their distance in Å.
Fractional positions:
Nb: 0.0000 0.0000 0.0000  4 O 3.02, 8 F 3.03
W: 0.5000 0.5000 0.5000  4 F 2.13, 2 O 2.15
O: 0.5000 0.5000 0.0000  2 W 2.15
F: 0.0000 0.5000 0.5000  2 W 2.13
F: 0.5000 0.0000 0.5000  2 W 2.13

## Properties
The magnetization is 1.390 μB/atom. The calculation puts the volume at 15.64 A^3/atom. The total energy comes out at -29.85 eV per cell. Its theoretical density is 7024 kg/m³.